No. 1
Entry from OQMD: crystalline Dy3Er4Co2Te2 at its relaxed geometry (PBE).

Cell lengths 3.8321, 15.6564, 9.4531 Å; angles 90.00, 90.00, 90.00 degrees
Closest atoms and distances in Å follow each position.
Space group Imm2 (No. 44)
One atom of each set of equivalent atoms:
Dy1 0.0000 0.0000 0.0000 [2 per cell]  3 Te 3.16-3.20
Dy2 0.0000 0.3512 0.7306 [4 per cell]  2 Co 2.81
Er1 0.0000 0.1346 0.5825 [4 per cell]  2 Co 2.77
Er2 0.0000 0.3147 0.3774 [4 per cell]  2 Co 2.77
Co1 0.0000 0.2380 0.0703 [4 per cell]  4 Er 2.77, 2 Dy 2.81
Te1 0.0000 0.0000 0.3385 [2 per cell]  2 Er 3.12, 5 Dy 3.18-3.20
Te2 0.0000 0.5000 0.2336 [2 per cell]  2 Dy 3.16, 6 Er 3.19-3.20

Summary:
- VASP energy: -5.391 eV per atom
- Size of the total moment: 0.0 μB per cell

***

No. 2
Entry from OQMD: crystalline AcGdTe at its relaxed geometry (PBE).

Cell lengths 7.5920, 7.5920, 7.5920 Å; angles 90.00, 90.00, 90.00 degrees
Closest atoms and distances in Å follow each position.
Space group F-43m (No. 216)
One atom of each set of equivalent atoms:
Ac1 0.0000 0.0000 0.0000 [4 per cell]  4 Te 3.29
Gd1 0.0000 0.0000 0.5000 [4 per cell]  4 Te 3.29
Te1 0.2500 0.2500 0.2500 [4 per cell]  4 Gd 3.29, 4 Ac 3.29

Summary:
- Size of the total moment: 3.6 μB per cell
- Relative energy among the computed polymorphs: 0 meV per atom

***

No. 3
Entry from OQMD: crystalline BaZn2Pd3 at its relaxed geometry (PBE).

Cell lengths 3.3885, 3.3885, 10.0772 Å; angles 90.00, 90.00, 90.00 degrees
Closest atoms and distances in Å follow each position.
Space group P4mm (No. 99)
One atom of each set of equivalent atoms:
Ba1 0.0000 0.0000 0.0000 [1 per cell]  5 Pd 3.25-3.58, 4 Ba 3.39, 5 Zn 3.52-3.63
Zn1 0.0000 0.0000 0.6402 [1 per cell]  9 Pd 2.71-2.88
Zn2 0.5000 0.5000 0.2555 [1 per cell]  5 Pd 2.60-2.61
Pd1 0.0000 0.0000 0.3549 [1 per cell]  5 Zn 2.60-2.88, 4 Pd 2.88
Pd2 0.5000 0.5000 0.5141 [1 per cell]  5 Zn 2.61-2.71, 5 Pd 2.70-2.88
Pd3 0.5000 0.5000 0.7815 [1 per cell]  1 Pd 2.70, 4 Zn 2.79

Summary:
- VASP energy: -3.641 eV per atom

***

No. 4
Entry from OQMD: crystalline Ba2Li3TaN4 at its relaxed geometry (PBE).

Cell lengths 11.2834, 5.6601, 11.0590 Å; angles 90.00, 118.83, 90.00 degrees
Closest atoms and distances in Å follow each position.
Space group C2/c (No. 15)
One atom of each set of equivalent atoms:
Ba1 0.1531 0.2162 0.1121 [8 per cell]  5 N 2.78-3.08, 3 Li 2.92-3.04
Li1 0.0000 0.3816 0.2500 [4 per cell]  4 N 2.23-2.36
Li2 0.1755 0.2947 0.5419 [8 per cell]  3 N 2.00-2.11
Ta1 0.0000 0.1383 0.7500 [4 per cell]  4 N 1.96-1.97
N1 0.0767 0.3425 0.6611 [8 per cell]  1 Ta 1.97, 1 Li 2.11
N2 0.1386 0.0701 0.3869 [8 per cell]  1 Ta 1.96, 2 Li 2.00-2.01

Summary:
- VASP energy: -6.318 eV per atom
- Size of the total moment: 0.0 μB per cell

***

No. 5
Entry from OQMD: crystalline NaGdTe3Au at its relaxed geometry (PBE).

Cell lengths 4.1883, 15.2482, 11.1894 Å; angles 90.00, 90.00, 90.00 degrees
Closest atoms and distances in Å follow each position.
Space group Cmcm (No. 63)
One atom of each set of equivalent atoms:
Na1 0.0000 0.2300 0.2500 [4 per cell]  6 Te 3.27-3.41
Gd1 0.0000 0.0000 0.0000 [4 per cell]  6 Te 3.10-3.14
Te1 0.0000 0.0937 0.7500 [4 per cell]  2 Au 2.81, 2 Gd 3.14
Te2 0.0000 0.3564 0.5587 [8 per cell]  1 Au 2.76
Au1 0.0000 0.4711 0.7500 [4 per cell]  4 Te 2.76-2.81

Summary:
- VASP energy: -3.961 eV per atom
- Size of the total moment: 0.1 μB per cell

***

No. 6
Entry from OQMD: crystalline ErZr at its relaxed geometry (PBE).

Cell lengths 3.3877, 3.3877, 5.3222 Å; angles 90.00, 90.00, 120.00 degrees
Closest atoms and distances in Å follow each position.
Space group P-6m2 (No. 187)
One atom of each set of equivalent atoms:
Er1 0.0000 0.0000 0.0000 [1 per cell]  6 Zr 3.30, 6 Er 3.39
Zr1 0.6667 0.3333 0.5000 [1 per cell]  6 Er 3.30, 6 Zr 3.39

Summary:
- Size of the total moment: 0.0 μB per cell
- Formation energy from the elements: 15 kJ/mol of formula units

***

Repeat the fourth record exactly.
Entry from OQMD: crystalline Ba2Li3TaN4 at its relaxed geometry (PBE).

Cell lengths 11.2834, 5.6601, 11.0590 Å; angles 90.00, 118.83, 90.00 degrees
Closest atoms and distances in Å follow each position.
Space group C2/c (No. 15)
One atom of each set of equivalent atoms:
Ba1 0.1531 0.2162 0.1121 [8 per cell]  5 N 2.78-3.08, 3 Li 2.92-3.04
Li1 0.0000 0.3816 0.2500 [4 per cell]  4 N 2.23-2.36
Li2 0.1755 0.2947 0.5419 [8 per cell]  3 N 2.00-2.11
Ta1 0.0000 0.1383 0.7500 [4 per cell]  4 N 1.96-1.97
N1 0.0767 0.3425 0.6611 [8 per cell]  1 Ta 1.97, 1 Li 2.11
N2 0.1386 0.0701 0.3869 [8 per cell]  1 Ta 1.96, 2 Li 2.00-2.01

Summary:
- VASP energy: -6.318 eV per atom
- Size of the total moment: 0.0 μB per cell